Record 1
An optimized crystal structure of TbHoHf2. Source: Alexandria, functional PBE.

Values from the calculation:
The value obtained for the density of states at the Fermi level is 4.744 states/eV per cell. For the formation energy, the calculation gives 0.193 eV per atom.

a b c (Å): 4.6458 4.6458 4.8059
angles (deg): 90.00 90.00 90.00
Last column: nearest neighbours and their distance in Å.
Space group P4/mmm (No. 123)
Inequivalent atoms, fractional coordinates:
Tb (0.0000, 0.0000, 0.0000) [1 per cell]  4 Ho 3.29, 8 Hf 3.34
Ho (0.5000, 0.5000, 0.0000) [1 per cell]  4 Tb 3.29, 8 Hf 3.34
Hf (0.0000, 0.5000, 0.5000) [2 per cell]  4 Hf 3.29, 4 Tb 3.34, 4 Ho 3.34

***

Record 2
An optimized crystal structure of Tb2HoHf. Source: Alexandria, functional PBE.

Values from the calculation:
The value obtained for the density of states at the Fermi level is 6.593 states/eV per cell. For the formation energy, the calculation gives 0.217 eV per atom.

a b c (Å): 3.9897 3.9897 7.2365
angles (deg): 90.00 90.00 90.00
Last column: nearest neighbours and their distance in Å.
Space group P4/mmm (No. 123)
Inequivalent atoms, fractional coordinates:
Tb (0.0000, 0.0000, 0.2237) [2 per cell]  1 Tb 3.24, 4 Hf 3.25, 4 Ho 3.46
Ho (0.5000, 0.5000, 0.5000) [1 per cell]  8 Tb 3.46, 2 Hf 3.62
Hf (0.5000, 0.5000, 0.0000) [1 per cell]  8 Tb 3.25, 2 Ho 3.62

***

Please write out number 2 again, unchanged.
An optimized crystal structure of Tb2HoHf. Source: Alexandria, functional PBE.

Values from the calculation:
The value obtained for the density of states at the Fermi level is 6.593 states/eV per cell. For the formation energy, the calculation gives 0.217 eV per atom.

a b c (Å): 3.9897 3.9897 7.2365
angles (deg): 90.00 90.00 90.00
Last column: nearest neighbours and their distance in Å.
Space group P4/mmm (No. 123)
Inequivalent atoms, fractional coordinates:
Tb (0.0000, 0.0000, 0.2237) [2 per cell]  1 Tb 3.24, 4 Hf 3.25, 4 Ho 3.46
Ho (0.5000, 0.5000, 0.5000) [1 per cell]  8 Tb 3.46, 2 Hf 3.62
Hf (0.5000, 0.5000, 0.0000) [1 per cell]  8 Tb 3.25, 2 Ho 3.62

***

Question: Which formula does entry 1 have?
Answer: TbHoHf2